# NpIn2Cl3F3

A relaxed NpIn2Cl3F3 crystal (PBE, Alexandria via LeMat-Bulk).

Properties
Theoretical density, Mg/m³: 5.289
Magnetic moment, μB/f.u.: 3.05
Space group: P-62m (189)
Electronic total energy, eV per atom: -5.247
Volume, Å³ per atom: 21.975
Formation energy without anion corrections, eV/atom: -1.961

Cell and atoms, written as POSCAR:
```
NpIn2Cl3F3
1.0
7.8477 0.0000 0.0000
-3.9239 6.7963 0.0000
0.0000 0.0000 3.7081
Np In Cl F
1 2 3 3
Cartesian
0.0000 0.0000 0.0000
0.0000 4.5309 1.8540
3.9239 2.2654 1.8540
-1.4347 2.4850 0.0000
2.8695 0.0000 0.0000
2.4891 4.3113 0.0000
-3.1848 5.5163 1.8540
0.7390 1.2800 1.8540
6.3697 0.0000 1.8540
```